# 1
! BaPmGe2Au2 | Alexandria via LeMat-Bulk | PBE-GGA | optimized geometry; values from VASP
&SYSTEM
  ibrav = 0, nat = 6, ntyp = 4
/
ATOMIC_SPECIES
Ba 137.33 Ba.upf
Pm 145.00 Pm.upf
Ge 72.64 Ge.upf
Au 196.97 Au.upf
CELL_PARAMETERS angstrom
4.585 0.000 0.000
-2.292 3.970 0.000
0.000 0.000 8.421
ATOMIC_POSITIONS crystal
Ba 0.000 0.000 0.000
Pm 0.000 0.000 0.500
Ge 0.333 0.667 0.707
Ge 0.667 0.333 0.293
Au 0.333 0.667 0.289
Au 0.667 0.333 0.711
! Formation energy from the elements, eV/atom: -0.74

# 2
! MnSb2P | Alexandria via LeMat-Bulk | PBE-GGA | optimized geometry; values from VASP
&SYSTEM
  ibrav = 0, nat = 4, ntyp = 3
/
ATOMIC_SPECIES
Mn 54.94 Mn.upf
Sb 121.76 Sb.upf
P 30.97 P.upf
CELL_PARAMETERS angstrom
1.907 1.101 6.840
-1.907 1.101 6.840
0.000 -2.201 6.840
ATOMIC_POSITIONS crystal
Mn 0.000 0.000 0.000
Sb 0.250 0.250 0.250
Sb 0.750 0.750 0.750
P 0.500 0.500 0.500
! Energy relative to the elements, uncorrected, eV/atom: 0.231

| no. | uncorrected energy (eV/atom) |
| --- | --- |
| 1 | -4.487 |
| 2 | -5.475 |